## NaIn6Ga4 (PBE-GGA)

Data for NaIn6Ga4 after structural relaxation.

Geometry as CIF:
```
data_NaIn6Ga4
_symmetry_space_group_name_H-M 'P 1'
_symmetry_Int_Tables_number 1
_cell_length_a 8.4601
_cell_length_b 8.4601
_cell_length_c 4.5528
_cell_angle_alpha 90.00
_cell_angle_beta 90.00
_cell_angle_gamma 120.00
loop_
_symmetry_equiv_pos_as_xyz
'x,y,z'
loop_
_atom_site_label
_atom_site_type_symbol
_atom_site_fract_x
_atom_site_fract_y
_atom_site_fract_z
_atom_site_occupancy
Na1 Na 0.0000 0.0000 0.0000 1
In1 In 0.1911 0.3823 0.5000 1
In2 In 0.1911 0.8089 0.5000 1
In3 In 0.5303 0.0605 0.0000 1
In4 In 0.5303 0.4697 0.0000 1
In5 In 0.6177 0.8089 0.5000 1
In6 In 0.9395 0.4697 0.0000 1
Ga1 Ga 0.3333 0.6667 0.0000 1
Ga2 Ga 0.4263 0.2132 0.5000 1
Ga3 Ga 0.7868 0.2132 0.5000 1
Ga4 Ga 0.7868 0.5737 0.5000 1
```

SG = P-6m2 (187)
formation energy = 0.06 eV/f.u.


## NaIn2Ga (PBE-GGA)

Data for NaIn2Ga after structural relaxation.

Geometry as CIF:
```
data_NaIn2Ga
_symmetry_space_group_name_H-M 'P 1'
_symmetry_Int_Tables_number 1
_cell_length_a 8.7969
_cell_length_b 8.7969
_cell_length_c 8.7969
_cell_angle_alpha 29.44
_cell_angle_beta 29.44
_cell_angle_gamma 29.44
loop_
_symmetry_equiv_pos_as_xyz
'x,y,z'
loop_
_atom_site_label
_atom_site_type_symbol
_atom_site_fract_x
_atom_site_fract_y
_atom_site_fract_z
_atom_site_occupancy
Na1 Na 0.0000 0.0000 0.0000 1
In1 In 0.1215 0.1215 0.1215 1
In2 In 0.8785 0.8785 0.8785 1
Ga1 Ga 0.5000 0.5000 0.5000 1
```

SG = R-3m (166)
formation energy = 0.54 eV/f.u.